Here is crystalline PmSc4Cd5 at its relaxed geometry from Alexandria. Energies are from PBE-GGA.

```
PmSc4Cd5
1.0
3.5724 0.0000 0.0000
0.0000 3.5724 0.0000
0.0000 0.0000 18.2233
Pm Sc Cd
1 4 5
Direct
0.0000 0.0000 0.0000
0.0000 0.0000 0.2122
0.0000 0.0000 0.4042
0.0000 0.0000 0.5958
0.0000 0.0000 0.7878
0.5000 0.5000 0.1189
0.5000 0.5000 0.3078
0.5000 0.5000 0.5000
0.5000 0.5000 0.6922
0.5000 0.5000 0.8811
```

Results
- formation energy from the elements (eV per atom) = -0.29
- spin magnetization (μB/f.u.) = 0.51